Record 1
Computed, not measured: a geometry-optimized BeVCrCo structure at the PBE level of DFT.

Summary:
- space group = F-43m
- ΔE_f (eV/atom) = -0.064
- energy (eV per atom) = -7.458

Cell lengths 3.962, 3.962, 3.962 Å; angles 60.00, 60.00, 60.00 degrees
Each line ends with the local moment (μB).
Fractional coordinates of all 4 atoms:
Cr 0.500 0.500 0.500  1.82
Co 0.000 0.000 0.000  0.48
Be 0.750 0.750 0.750  -0.02
V 0.250 0.250 0.250  -0.41

***

Record 2
Computed, not measured: a geometry-optimized Ho6Cd3Co structure at the PBE level of DFT.

Summary:
- space group = P2_1/m
- ΔE_f (eV/atom) = -0.196
- energy (eV per atom) = -3.928
- energy relative to the lowest polymorph listed for this composition (meV/atom) = 0.0

Cell lengths 5.259, 9.035, 11.291 Å; angles 108.87, 90.00, 90.00 degrees
Fractional coordinates of all 20 atoms:
Ho 0.250 0.467 0.084
Ho 0.750 0.533 0.916
Ho 0.250 0.120 0.148
Ho 0.750 0.880 0.852
Ho 0.250 0.698 0.663
Ho 0.750 0.302 0.337
Ho 0.250 0.216 0.497
Ho 0.750 0.784 0.503
Ho 0.250 0.848 0.337
Ho 0.750 0.152 0.663
Ho 0.250 0.111 0.843
Ho 0.750 0.889 0.157
Cd 0.250 0.504 0.370
Cd 0.750 0.496 0.630
Cd 0.250 0.422 0.778
Cd 0.750 0.578 0.222
Cd 0.250 0.769 0.975
Cd 0.750 0.231 0.025
Co 0.250 0.963 0.592
Co 0.750 0.037 0.408

***

Record 3
Computed, not measured: a geometry-optimized Ba6LiGa2 structure at the PBE level of DFT.

Summary:
- space group = Immm
- ΔE_f (eV/atom) = -0.143
- energy (eV per atom) = -2.310

Cell lengths 10.251, 10.251, 10.251 Å; angles 106.25, 111.93, 110.28 degrees
Fractional coordinates of all 18 atoms:
Ba 0.533 0.715 0.818
Ba 0.467 0.285 0.182
Ba 0.103 0.285 0.818
Ba 0.897 0.715 0.182
Ba 0.774 0.775 0.548
Ba 0.226 0.225 0.452
Ba 0.226 0.775 0.001
Ba 0.774 0.225 0.999
Ba 0.710 0.391 0.681
Ba 0.290 0.609 0.319
Ba 0.290 0.972 0.681
Ba 0.710 0.028 0.319
Li 0.000 0.500 0.500
Li 0.000 0.000 0.000
Ga 0.500 0.390 0.890
Ga 0.500 0.610 0.110
Ga 0.612 0.000 0.612
Ga 0.388 0.000 0.388

***

Record 4
Computed, not measured: a geometry-optimized CaMgHgRh structure at the PBE level of DFT.

Summary:
- space group = F-43m
- ΔE_f (eV/atom) = -0.315
- energy (eV per atom) = -3.128

Cell lengths 4.883, 4.883, 4.883 Å; angles 60.00, 60.00, 60.00 degrees
Fractional coordinates of all 4 atoms:
Mg 0.000 0.000 0.000
Ca 0.500 0.500 0.500
Rh 0.750 0.750 0.750
Hg 0.250 0.250 0.250